No. 1
The following is a PBEsol calculation of crystalline CoNi2 at its relaxed geometry, from Alexandria via LeMat-Bulk.

Values from the calculation:
The calculation puts the formation energy at 0.0460 eV per atom. The calculation puts the density of states at the Fermi level at 1.067 states/eV/atom.

Unit cell a=6.713 b=6.713 c=2.411 alpha=90.00 beta=90.00 gamma=120.00
Positions (direct):
1 Co 0.000 0.000 0.000
2 Co 0.333 0.667 0.500
3 Co 0.667 0.333 0.500
4 Ni 0.000 0.305 0.500
5 Ni 0.000 0.640 0.000
6 Ni 0.305 0.000 0.500
7 Ni 0.360 0.360 0.000
8 Ni 0.640 0.000 0.000
9 Ni 0.695 0.695 0.500

---

No. 2
The following is a PBEsol calculation of crystalline CoNi3 at its relaxed geometry, from Alexandria via LeMat-Bulk.

Values from the calculation:
The calculation puts the formation energy at 0.0160 eV per atom. The calculation puts the density of states at the Fermi level at 1.411 states/eV/atom.

Unit cell a=4.690 b=4.690 c=4.690 alpha=149.84 beta=62.96 gamma=126.16
Positions (direct):
1 Co 0.000 0.000 0.000
2 Ni 0.084 0.334 0.749
3 Ni 0.500 0.000 0.500
4 Ni 0.585 0.334 0.251

---

No. 3
The following is a PBEsol calculation of crystalline CoNi2 at its relaxed geometry, from Alexandria via LeMat-Bulk.

Values from the calculation:
The calculation puts the formation energy at -0.0127 eV per atom. The calculation puts the density of states at the Fermi level at 0.923 states/eV/atom.

Unit cell a=5.503 b=5.503 c=5.503 alpha=154.43 beta=154.43 gamma=36.48
Positions (direct):
1 Co 0.000 0.000 0.000
2 Ni 0.335 0.335 0.000
3 Ni 0.665 0.665 0.000

---

No. 4
The following is a PBEsol calculation of crystalline Co5Ni at its relaxed geometry, from Alexandria via LeMat-Bulk.

Values from the calculation:
As for the energy above the most stable polymorph in this dataset: 22 meV per atom. The calculation puts the formation energy at 0.0126 eV per atom. The calculation puts the density of states at the Fermi level at 1.124 states/eV/atom.

Unit cell a=5.451 b=5.451 c=3.470 alpha=90.00 beta=90.00 gamma=142.94
Positions (direct):
1 Co 0.000 0.000 0.000
2 Co 0.167 0.833 0.500
3 Co 0.333 0.667 0.000
4 Co 0.667 0.333 0.000
5 Co 0.833 0.167 0.500
6 Ni 0.500 0.500 0.500

---

No. 5
The following is a PBEsol calculation of crystalline Co3Ni at its relaxed geometry, from Alexandria via LeMat-Bulk.

Values from the calculation:
The calculation puts the formation energy at -0.0096 eV per atom. The calculation puts the density of states at the Fermi level at 0.791 states/eV/atom.

Unit cell a=2.444 b=3.962 c=4.268 alpha=90.00 beta=90.00 gamma=90.00
Positions (direct):
1 Co 0.000 0.000 0.000
2 Co 0.000 0.500 0.330
3 Co 0.500 0.000 0.500
4 Ni 0.500 0.500 0.833

---

No. 6
The following is a PBEsol calculation of crystalline Co3Ni at its relaxed geometry, from Alexandria via LeMat-Bulk.

Values from the calculation:
The calculation puts the formation energy at 0.0061 eV per atom. The calculation puts the density of states at the Fermi level at 1.046 states/eV/atom.

Unit cell a=4.237 b=7.957 c=4.918 alpha=90.00 beta=90.00 gamma=90.00
Positions (direct):
1 Co 0.085 0.250 0.124
2 Co 0.250 0.001 0.374
3 Co 0.250 0.499 0.374
4 Co 0.250 0.501 0.874
5 Co 0.250 0.999 0.874
6 Co 0.415 0.750 0.624
7 Co 0.585 0.250 0.376
8 Co 0.750 0.001 0.126
9 Co 0.750 0.499 0.126
10 Co 0.750 0.501 0.626
11 Co 0.750 0.999 0.626
12 Co 0.915 0.750 0.876
13 Ni 0.083 0.250 0.624
14 Ni 0.417 0.750 0.124
15 Ni 0.583 0.250 0.876
16 Ni 0.917 0.750 0.376

---

No. 7
The following is a PBEsol calculation of crystalline Co3Ni at its relaxed geometry, from Alexandria via LeMat-Bulk.

Values from the calculation:
The calculation puts the formation energy at -0.0025 eV per atom. The calculation puts the density of states at the Fermi level at 0.881 states/eV/atom.

Unit cell a=4.665 b=4.665 c=4.665 alpha=149.61 beta=63.53 gamma=125.67
Positions (direct):
1 Co 0.000 0.000 0.000
2 Co 0.081 0.332 0.749
3 Co 0.583 0.332 0.251
4 Ni 0.499 0.999 0.500

---

No. 8
The following is a PBEsol calculation of crystalline CoNi2 at its relaxed geometry, from Alexandria via LeMat-Bulk.

Values from the calculation:
The calculation puts the formation energy at 0.0025 eV per atom. The calculation puts the density of states at the Fermi level at 1.173 states/eV/atom.

Unit cell a=10.614 b=10.614 c=10.614 alpha=161.19 beta=161.19 gamma=26.73
Positions (direct):
1 Co 0.290 0.540 0.750
2 Co 0.460 0.710 0.750
3 Co 0.540 0.290 0.250
4 Co 0.710 0.460 0.250
5 Ni 0.041 0.791 0.250
6 Ni 0.124 0.374 0.750
7 Ni 0.209 0.959 0.250
8 Ni 0.374 0.124 0.250
9 Ni 0.626 0.876 0.750
10 Ni 0.791 0.041 0.750
11 Ni 0.876 0.626 0.250
12 Ni 0.959 0.209 0.750

---

No. 9
The following is a PBEsol calculation of crystalline CoNi5 at its relaxed geometry, from Alexandria via LeMat-Bulk.

Values from the calculation:
The calculation puts the formation energy at -0.0043 eV per atom. The calculation puts the density of states at the Fermi level at 1.306 states/eV/atom.

Unit cell a=2.438 b=2.438 c=10.431 alpha=90.00 beta=90.00 gamma=90.00
Positions (direct):
1 Co 0.000 0.000 0.000
2 Ni 0.000 0.000 0.334
3 Ni 0.000 0.000 0.666
4 Ni 0.500 0.500 0.165
5 Ni 0.500 0.500 0.500
6 Ni 0.500 0.500 0.835

---

No. 10
The following is a PBEsol calculation of crystalline Co3Ni at its relaxed geometry, from Alexandria via LeMat-Bulk.

Values from the calculation:
The calculation puts the formation energy at 0.0132 eV per atom. The calculation puts the density of states at the Fermi level at 1.194 states/eV/atom.

Unit cell a=4.236 b=4.236 c=4.248 alpha=99.50 beta=99.50 gamma=33.49
Positions (direct):
1 Co 0.000 0.000 0.000
2 Co 0.251 0.251 0.752
3 Co 0.749 0.749 0.248
4 Ni 0.500 0.500 0.500

---

No. 11
The following is a PBEsol calculation of crystalline CoNi5 at its relaxed geometry, from Alexandria via LeMat-Bulk.

Values from the calculation:
The calculation puts the formation energy at 0.0136 eV per atom. The calculation puts the density of states at the Fermi level at 1.468 states/eV/atom.

Unit cell a=4.001 b=6.491 c=6.491 alpha=21.66 beta=90.00 gamma=90.00
Positions (direct):
1 Co 0.000 0.000 0.000
2 Ni 0.000 0.334 0.334
3 Ni 0.000 0.665 0.665
4 Ni 0.500 0.110 0.110
5 Ni 0.500 0.443 0.443
6 Ni 0.500 0.776 0.776

---

No. 12
The following is a PBEsol calculation of crystalline CoNi2 at its relaxed geometry, from Alexandria via LeMat-Bulk.

Values from the calculation:
The calculation puts the formation energy at -0.0030 eV per atom. The calculation puts the density of states at the Fermi level at 1.113 states/eV/atom.

Unit cell a=2.446 b=2.446 c=6.000 alpha=90.00 beta=90.00 gamma=120.00
Positions (direct):
1 Co 0.000 0.000 0.000
2 Ni 0.333 0.667 0.331
3 Ni 0.667 0.333 0.669

---

No. 13
The following is a PBEsol calculation of crystalline Co2Ni at its relaxed geometry, from Alexandria via LeMat-Bulk.

Values from the calculation:
The calculation puts the formation energy at 0.0073 eV per atom. The calculation puts the density of states at the Fermi level at 1.132 states/eV/atom.

Unit cell a=4.233 b=4.233 c=4.233 alpha=146.71 beta=131.21 gamma=60.35
Positions (direct):
1 Co 0.168 0.168 0.000
2 Co 0.832 0.832 0.000
3 Ni 0.500 0.500 0.000

---

No. 14
The following is a PBEsol calculation of crystalline CoNi3 at its relaxed geometry, from Alexandria via LeMat-Bulk.

Values from the calculation:
The calculation puts the formation energy at 0.0073 eV per atom. The calculation puts the density of states at the Fermi level at 1.284 states/eV/atom.

Unit cell a=4.251 b=4.251 c=2.435 alpha=90.00 beta=90.00 gamma=109.72
Positions (direct):
1 Co 0.000 0.000 0.000
2 Ni 0.000 0.500 0.500
3 Ni 0.500 0.000 0.500
4 Ni 0.500 0.500 0.000

---

No. 15
The following is a PBEsol calculation of crystalline Co3Ni at its relaxed geometry, from Alexandria via LeMat-Bulk.

Values from the calculation:
The calculation puts the formation energy at -0.0230 eV per atom. The calculation puts the density of states at the Fermi level at 0.573 states/eV/atom.

Unit cell a=4.914 b=4.914 c=3.958 alpha=90.00 beta=90.00 gamma=120.00
Positions (direct):
1 Co 0.165 0.331 0.250
2 Co 0.165 0.835 0.250
3 Co 0.331 0.165 0.750
4 Co 0.669 0.835 0.250
5 Co 0.835 0.165 0.750
6 Co 0.835 0.669 0.750
7 Ni 0.333 0.667 0.750
8 Ni 0.667 0.333 0.250

---

No. 16
The following is a PBEsol calculation of crystalline Co5Ni4 at its relaxed geometry, from Alexandria via LeMat-Bulk.

Values from the calculation:
The calculation puts the formation energy at -0.0050 eV per atom. The calculation puts the density of states at the Fermi level at 1.055 states/eV/atom.

Unit cell a=5.466 b=5.466 c=5.466 alpha=95.76 beta=95.76 gamma=143.07
Positions (direct):
1 Co 0.000 0.000 0.000
2 Co 0.334 0.334 0.668
3 Co 0.334 0.666 0.000
4 Co 0.666 0.334 0.000
5 Co 0.666 0.666 0.332
6 Ni 0.000 0.332 0.332
7 Ni 0.000 0.668 0.668
8 Ni 0.332 0.000 0.332
9 Ni 0.668 0.000 0.668

---

No. 17
The following is a PBEsol calculation of crystalline Co3Ni at its relaxed geometry, from Alexandria via LeMat-Bulk.

Values from the calculation:
The calculation puts the formation energy at 1.9340 eV per atom. The calculation puts the density of states at the Fermi level at 2.224 states/eV/atom.

Unit cell a=4.251 b=4.251 c=4.251 alpha=90.00 beta=90.00 gamma=90.00
Positions (direct):
1 Co 0.000 0.000 0.500
2 Co 0.000 0.500 0.000
3 Co 0.500 0.000 0.000
4 Ni 0.000 0.000 0.000

---

No. 18
The following is a PBEsol calculation of crystalline Co4Ni at its relaxed geometry, from Alexandria via LeMat-Bulk.

Values from the calculation:
The calculation puts the formation energy at 0.0098 eV per atom. The calculation puts the density of states at the Fermi level at 1.112 states/eV/atom.

Unit cell a=4.234 b=4.234 c=4.234 alpha=99.65 beta=99.65 gamma=131.65
Positions (direct):
1 Co 0.098 0.700 0.798
2 Co 0.300 0.098 0.398
3 Co 0.700 0.902 0.602
4 Co 0.902 0.300 0.202
5 Ni 0.500 0.500 0.000

---

No. 19
The following is a PBEsol calculation of crystalline Co2Ni at its relaxed geometry, from Alexandria via LeMat-Bulk.

Values from the calculation:
The calculation puts the formation energy at -0.0048 eV per atom. The calculation puts the density of states at the Fermi level at 0.893 states/eV/atom.

Unit cell a=4.677 b=4.677 c=5.821 alpha=104.31 beta=104.31 gamma=30.27
Positions (direct):
1 Co 0.000 0.000 0.000
2 Co 0.056 0.056 0.613
3 Co 0.334 0.334 0.667
4 Co 0.666 0.666 0.335
5 Ni 0.390 0.390 0.280
6 Ni 0.722 0.722 0.944

---

No. 20
The following is a PBEsol calculation of crystalline Co3Ni at its relaxed geometry, from Alexandria via LeMat-Bulk.

Values from the calculation:
The calculation puts the formation energy at 0.0067 eV per atom. The calculation puts the density of states at the Fermi level at 1.166 states/eV/atom.

Unit cell a=3.459 b=3.459 c=3.459 alpha=90.00 beta=90.00 gamma=90.00
Positions (direct):
1 Co 0.000 0.000 0.500
2 Co 0.000 0.500 0.000
3 Co 0.500 0.000 0.000
4 Ni 0.500 0.500 0.500

---

No. 21
The following is a PBEsol calculation of crystalline CoNi3 at its relaxed geometry, from Alexandria via LeMat-Bulk.

Values from the calculation:
The calculation puts the formation energy at -0.0081 eV per atom. The calculation puts the density of states at the Fermi level at 1.166 states/eV/atom.

Unit cell a=2.436 b=2.436 c=6.964 alpha=90.00 beta=90.00 gamma=90.00
Positions (direct):
1 Co 0.000 0.000 0.000
2 Ni 0.000 0.000 0.500
3 Ni 0.500 0.500 0.248
4 Ni 0.500 0.500 0.752

---

No. 22
The following is a PBEsol calculation of crystalline Co7Ni at its relaxed geometry, from Alexandria via LeMat-Bulk.

Values from the calculation:
The calculation puts the formation energy at 0.0156 eV per atom. The calculation puts the density of states at the Fermi level at 1.141 states/eV/atom.

Unit cell a=4.899 b=4.899 c=4.899 alpha=60.00 beta=60.00 gamma=60.00
Positions (direct):
1 Co 0.000 0.000 0.000
2 Co 0.000 0.000 0.500
3 Co 0.000 0.500 0.000
4 Co 0.000 0.500 0.500
5 Co 0.500 0.000 0.000
6 Co 0.500 0.000 0.500
7 Co 0.500 0.500 0.000
8 Ni 0.500 0.500 0.500

---

No. 23
The following is a PBEsol calculation of crystalline Co3Ni at its relaxed geometry, from Alexandria via LeMat-Bulk.

Values from the calculation:
The calculation puts the formation energy at -0.0031 eV per atom. The calculation puts the density of states at the Fermi level at 0.924 states/eV/atom.

Unit cell a=2.455 b=2.455 c=7.955 alpha=90.00 beta=90.00 gamma=120.00
Positions (direct):
1 Co 0.000 0.000 0.000
2 Co 0.333 0.667 0.249
3 Co 0.333 0.667 0.751
4 Ni 0.000 0.000 0.500

---

No. 24
The following is a PBEsol calculation of crystalline Co2Ni at its relaxed geometry, from Alexandria via LeMat-Bulk.

Values from the calculation:
The calculation puts the formation energy at 0.0063 eV per atom. The calculation puts the density of states at the Fermi level at 1.112 states/eV/atom.

Unit cell a=5.496 b=5.496 c=5.496 alpha=154.37 beta=154.37 gamma=36.56
Positions (direct):
1 Co 0.168 0.168 0.000
2 Co 0.832 0.832 0.000
3 Ni 0.500 0.500 0.000

---

No. 25
The following is a PBEsol calculation of crystalline Co3Ni at its relaxed geometry, from Alexandria via LeMat-Bulk.

Values from the calculation:
The calculation puts the formation energy at 0.0130 eV per atom. The calculation puts the density of states at the Fermi level at 1.176 states/eV/atom.

Unit cell a=4.247 b=4.247 c=2.438 alpha=90.00 beta=90.00 gamma=109.67
Positions (direct):
1 Co 0.000 0.000 0.000
2 Co 0.000 0.500 0.500
3 Co 0.500 0.000 0.500
4 Ni 0.500 0.500 0.000

---

No. 26
The following is a PBEsol calculation of crystalline Co2Ni at its relaxed geometry, from Alexandria via LeMat-Bulk.

Values from the calculation:
The calculation puts the formation energy at 0.0463 eV per atom. The calculation puts the density of states at the Fermi level at 1.024 states/eV/atom.

Unit cell a=6.703 b=6.703 c=2.411 alpha=90.00 beta=90.00 gamma=120.00
Positions (direct):
1 Co 0.000 0.306 0.000
2 Co 0.000 0.640 0.500
3 Co 0.306 0.000 0.000
4 Co 0.360 0.360 0.500
5 Co 0.640 0.000 0.500
6 Co 0.694 0.694 0.000
7 Ni 0.000 0.000 0.500
8 Ni 0.333 0.667 0.000
9 Ni 0.667 0.333 0.000

---

No. 27
The following is a PBEsol calculation of crystalline CoNi3 at its relaxed geometry, from Alexandria via LeMat-Bulk.

Values from the calculation:
The calculation puts the formation energy at 0.0082 eV per atom. The calculation puts the density of states at the Fermi level at 1.288 states/eV/atom.

Unit cell a=3.986 b=4.901 c=4.249 alpha=90.00 beta=90.00 gamma=90.00
Positions (direct):
1 Co 0.250 0.250 0.166
2 Co 0.750 0.750 0.834
3 Ni 0.250 0.000 0.665
4 Ni 0.250 0.500 0.665
5 Ni 0.250 0.750 0.163
6 Ni 0.750 0.000 0.335
7 Ni 0.750 0.250 0.837
8 Ni 0.750 0.500 0.335